1.
## Na2Nb3O6 (PBE)

Data for a geometry-optimized Na2Nb3O6 structure.

Structure (POSCAR):
```
Na2Nb3O6
1.0
5.173 0.000 0.000
-2.587 4.480 0.000
0.000 0.000 23.676
Na Nb O
8 12 24
Direct
0.000 0.000 0.250
0.000 0.000 0.750
0.333 0.667 0.000
0.333 0.667 0.250
0.333 0.667 0.500
0.667 0.333 0.000
0.667 0.333 0.500
0.667 0.333 0.750
0.004 0.333 0.625
0.004 0.670 0.875
0.330 0.333 0.875
0.330 0.996 0.625
0.333 0.004 0.125
0.333 0.330 0.375
0.667 0.670 0.625
0.667 0.996 0.875
0.670 0.004 0.375
0.670 0.667 0.125
0.996 0.330 0.125
0.996 0.667 0.375
0.002 0.339 0.428
0.002 0.663 0.072
0.005 0.335 0.322
0.005 0.671 0.178
0.329 0.335 0.178
0.329 0.995 0.322
0.335 0.005 0.822
0.335 0.329 0.678
0.337 0.339 0.072
0.337 0.998 0.428
0.339 0.002 0.928
0.339 0.337 0.572
0.661 0.663 0.428
0.661 0.998 0.072
0.663 0.002 0.572
0.663 0.661 0.928
0.665 0.671 0.322
0.665 0.995 0.178
0.671 0.005 0.678
0.671 0.665 0.822
0.995 0.329 0.822
0.995 0.665 0.678
0.998 0.337 0.928
0.998 0.661 0.572
```

Calculated values
E_form (uncorrected) = -2.283 eV per atom
SG = P-31c, No. 163
Energy = -350.83 eV/cell
Fermi-level density of states = 0.4055 states/eV/atom
Excess energy over the best structure of this formula in the dataset = 0 meV per atom
V = 548.78 Å³/cell

---

2.
## SmHo2ThSb4 (PBE)

Data for a geometry-optimized SmHo2ThSb4 structure.

Structure (POSCAR):
```
SmHo2ThSb4
1.0
7.653 0.000 0.000
0.000 4.438 0.000
-2.562 0.000 7.234
Sm Ho Th Sb
1 2 1 4
Direct
0.000 0.000 0.000
0.500 0.000 0.500
0.500 0.500 0.000
0.000 0.500 0.500
0.257 0.500 0.252
0.259 0.000 0.754
0.741 0.000 0.246
0.743 0.500 0.748
```

Calculated values
E_form (uncorrected) = -1.092 eV per atom
SG = P2/m, No. 10
Energy = -46.52 eV/cell
Fermi-level density of states = 0.2179 states/eV/atom
V = 245.72 Å³/cell

---

3.
## ErBrF (PBE)

Data for a geometry-optimized ErBrF structure.

Structure (POSCAR):
```
ErBrF
1.0
4.087 0.000 0.000
2.018 5.333 0.000
2.042 1.584 6.309
Er Br F
2 2 2
Direct
0.192 0.284 0.334
0.808 0.716 0.666
0.404 0.324 0.863
0.596 0.676 0.137
0.241 0.909 0.608
0.759 0.091 0.392
```

Calculated values
E_form (uncorrected) = -2.474 eV per atom
SG = P-1, No. 2
Energy = -31.06 eV/cell
V = 137.50 Å³/cell